Entry 1:
Computed, not measured: a relaxed Li2AcZrS4 crystal at the PBE-GGA level of DFT.

Formation energy (no corrections)   -1.56 eV per atom

Unit cell a=3.902 b=6.681 c=6.978 alpha=69.39 beta=90.00 gamma=90.00
Fractional coordinates of all 8 atoms:
Li  0.000  0.000  0.000
Li  0.500  0.000  0.500
Ac  0.500  0.500  0.000
Zr  0.000  0.500  0.500
S  0.000  0.762  0.708
S  0.000  0.238  0.292
S  0.500  0.750  0.272
S  0.500  0.250  0.728

---

Entry 2:
Computed, not measured: a relaxed TbCePt10 crystal at the PBE-GGA level of DFT.

Energy of formation from the pure elements   -8.502 eV per formula unit

Unit cell a=4.459 b=5.387 c=9.298 alpha=90.00 beta=90.00 gamma=90.00
Last column: magnetic moment on the atom in μB.
Fractional coordinates of all 12 atoms:
Tb  0.000  0.500  0.500  0.01
Ce  0.000  0.000  0.000  0.45
Pt  0.000  0.000  0.334  -0.01
Pt  0.000  0.500  0.832  -0.01
Pt  0.000  0.500  0.168  -0.01
Pt  0.000  0.000  0.666  -0.01
Pt  0.500  0.000  0.500  0.00
Pt  0.500  0.500  0.000  -0.01
Pt  0.500  0.251  0.251  -0.01
Pt  0.500  0.749  0.749  -0.01
Pt  0.500  0.749  0.251  -0.01
Pt  0.500  0.251  0.749  -0.01

---

Entry 3:
Computed, not measured: a relaxed HoTlZnF6 crystal at the PBE-GGA level of DFT.

Formation energy (no corrections)   -2.99 eV per atom

Unit cell a=8.179 b=7.693 c=7.925 alpha=119.04 beta=121.07 gamma=90.00
Fractional coordinates of all 18 atoms:
Ho  0.500  0.000  0.500
Ho  0.000  0.000  0.500
Tl  0.774  0.524  0.549
Tl  0.226  0.476  0.451
Zn  0.500  0.500  0.000
Zn  0.500  0.000  0.000
F  0.450  0.700  0.900
F  0.822  0.072  0.645
F  0.808  0.095  0.267
F  0.459  0.672  0.267
F  0.459  0.095  0.267
F  0.808  0.672  0.267
F  0.550  0.300  0.100
F  0.178  0.928  0.355
F  0.192  0.905  0.733
F  0.541  0.328  0.733
F  0.541  0.905  0.733
F  0.192  0.328  0.733

---

Entry 4:
Computed, not measured: a relaxed ThTe2Pb crystal at the PBE-GGA level of DFT.

Formation energy (no corrections)   -0.65 eV per atom

Unit cell a=4.204 b=4.204 c=10.718 alpha=78.69 beta=78.69 gamma=60.00
Fractional coordinates of all 4 atoms:
Pb  0.000  0.000  0.000
Te  0.103  0.103  0.691
Te  0.897  0.897  0.309
Th  0.500  0.500  0.500

---

Entry 5:
Computed, not measured: a relaxed CdTe2PN crystal at the PBE-GGA level of DFT.

Formation energy (no corrections)   0.41 eV per atom
Offset from the most stable computed form   0.00 eV per formula unit

Unit cell a=5.878 b=5.878 c=3.239 alpha=90.00 beta=90.00 gamma=90.00
Fractional coordinates of all 5 atoms:
P  0.000  0.000  0.000
N  0.000  0.000  0.500
Te  0.000  0.500  0.000
Te  0.500  0.000  0.000
Cd  0.500  0.500  0.500

---

Entry 6:
Computed, not measured: a relaxed Bi12BO20 crystal at the PBE-GGA level of DFT.

Formation energy (no corrections)   -1.25 eV per atom

Unit cell a=8.779 b=8.779 c=8.779 alpha=109.47 beta=109.47 gamma=109.47
Last column: magnetic moment on the atom in μB.
Fractional coordinates of all 33 atoms:
Bi  0.839  0.330  0.141  0.00
Bi  0.490  0.161  0.302  0.00
Bi  0.859  0.189  0.698  0.00
Bi  0.698  0.859  0.189  0.00
Bi  0.302  0.490  0.161  0.00
Bi  0.811  0.670  0.510  0.00
Bi  0.161  0.302  0.490  0.00
Bi  0.670  0.510  0.811  0.00
Bi  0.330  0.141  0.839  0.00
Bi  0.510  0.811  0.670  0.00
Bi  0.141  0.839  0.330  0.00
Bi  0.189  0.698  0.859  0.00
B  0.000  0.000  0.000  -0.01
O  0.402  0.000  0.000  0.01
O  0.743  0.125  0.356  0.01
O  0.875  0.618  0.231  0.01
O  0.613  0.382  0.257  0.01
O  0.172  0.172  0.172  0.18
O  0.828  0.000  0.000  0.18
O  0.769  0.387  0.644  0.01
O  0.000  0.402  0.000  0.01
O  0.382  0.257  0.613  0.01
O  0.618  0.231  0.875  0.01
O  0.356  0.743  0.125  0.01
O  0.644  0.769  0.387  0.01
O  0.598  0.598  0.598  0.01
O  0.257  0.613  0.382  0.01
O  0.000  0.000  0.828  0.18
O  0.000  0.828  0.000  0.18
O  0.125  0.356  0.743  0.01
O  0.387  0.644  0.769  0.01
O  0.231  0.875  0.618  0.01
O  0.000  0.000  0.402  0.01

---

Entry 7:
Computed, not measured: a relaxed UMn3 crystal at the PBE-GGA level of DFT.

Energy of formation from the pure elements   0.606 eV per formula unit

Unit cell a=3.777 b=4.654 c=4.654 alpha=47.90 beta=66.06 gamma=66.06
Last column: magnetic moment on the atom in μB.
Fractional coordinates of all 4 atoms:
Mn  0.000  0.000  0.000  1.48
Mn  0.500  0.500  0.500  1.48
Mn  0.750  0.750  0.750  0.96
U  0.250  0.250  0.250  -0.78

---

Entry 8:
Computed, not measured: a relaxed PmHoEr2Th crystal at the PBE-GGA level of DFT.

Energy of formation from the pure elements   1.632 eV per formula unit

Unit cell a=5.595 b=8.658 c=7.062 alpha=90.04 beta=90.00 gamma=90.00
Fractional coordinates of all 10 atoms:
Pm  0.000  0.000  0.000
Pm  0.000  0.000  0.500
Ho  0.000  0.500  0.750
Ho  0.000  0.500  0.250
Er  0.500  0.678  0.000
Er  0.500  0.322  0.500
Er  0.500  0.678  0.500
Er  0.500  0.322  0.000
Th  0.500  0.000  0.250
Th  0.500  0.000  0.750

---

Entry 9:
Computed, not measured: a relaxed CeDy4Tm3 crystal at the PBE-GGA level of DFT.

Energy of formation from the pure elements   0.264 eV per formula unit
Offset from the most stable computed form   0.00 eV per formula unit

Unit cell a=6.205 b=7.186 c=11.202 alpha=90.00 beta=90.00 gamma=90.00
Last column: magnetic moment on the atom in μB.
Fractional coordinates of all 16 atoms:
Ce  0.147  0.376  0.000  0.71
Ce  0.647  0.624  0.500  0.71
Dy  0.145  0.872  0.000  0.03
Dy  0.647  0.128  0.000  0.03
Dy  0.985  0.127  0.250  0.04
Dy  0.485  0.873  0.250  0.04
Dy  0.147  0.872  0.500  0.03
Dy  0.645  0.128  0.500  0.03
Dy  0.485  0.873  0.750  0.04
Dy  0.985  0.127  0.750  0.04
Tm  0.649  0.623  0.000  0.00
Tm  0.979  0.622  0.250  0.05
Tm  0.479  0.378  0.250  0.05
Tm  0.149  0.377  0.500  0.00
Tm  0.479  0.378  0.750  0.05
Tm  0.979  0.622  0.750  0.05

---

Entry 10:
Computed, not measured: a relaxed Pr3YS4 crystal at the PBE-GGA level of DFT.

Formation energy (no corrections)   -2.01 eV per atom
Offset from the most stable computed form   0.00 eV per formula unit

Unit cell a=7.032 b=7.078 c=8.065 alpha=90.00 beta=90.00 gamma=109.36
Fractional coordinates of all 16 atoms:
Pr  0.750  0.000  0.376
Pr  0.250  0.000  0.624
Pr  0.750  0.500  0.623
Pr  0.750  0.500  0.126
Pr  0.250  0.500  0.377
Pr  0.250  0.500  0.874
Y  0.750  0.000  0.874
Y  0.250  0.000  0.126
S  0.994  0.244  0.632
S  0.500  0.238  0.881
S  0.494  0.244  0.368
S  0.000  0.238  0.119
S  0.000  0.762  0.881
S  0.506  0.756  0.632
S  0.500  0.762  0.119
S  0.006  0.756  0.368

---

Entry 11:
Computed, not measured: a relaxed TmCd3 crystal at the PBE-GGA level of DFT.

Energy of formation from the pure elements   -1.013 eV per formula unit

Unit cell a=6.451 b=6.451 c=4.848 alpha=90.00 beta=90.00 gamma=112.43
Fractional coordinates of all 8 atoms:
Tm  0.631  0.369  0.250
Tm  0.369  0.631  0.750
Cd  0.177  0.823  0.250
Cd  0.823  0.177  0.750
Cd  0.120  0.312  0.250
Cd  0.880  0.688  0.750
Cd  0.312  0.120  0.750
Cd  0.688  0.880  0.250

---

Entry 12:
Computed, not measured: a relaxed Na2DyInSn2 crystal at the PBE-GGA level of DFT.

Energy of formation from the pure elements   -2.133 eV per formula unit

Unit cell a=4.632 b=7.614 c=9.473 alpha=90.00 beta=90.00 gamma=90.00
Fractional coordinates of all 12 atoms:
Na  0.500  0.048  0.070
Na  0.000  0.348  0.169
Na  0.500  0.548  0.930
Na  0.000  0.848  0.831
Dy  0.000  0.975  0.448
Dy  0.000  0.475  0.552
In  0.500  0.148  0.681
In  0.500  0.648  0.319
Sn  0.000  0.271  0.840
Sn  0.500  0.256  0.380
Sn  0.000  0.771  0.160
Sn  0.500  0.756  0.620

---

Number 1: magnetization 0.0 μB/f.u.. Number 2: magnetization 0.4 μB/f.u.. Number 3: magnetization 0.0 μB/f.u.. Number 4: magnetization 0.0 μB/f.u.. Number 5: magnetization 0.0 μB/f.u.. Number 6: magnetization 1.1 μB/f.u.. Number 7: magnetization 3.2 μB/f.u.. Number 8: magnetization 0.0 μB/f.u.. Number 9: magnetization 1.1 μB/f.u.. Number 10: magnetization 0.0 μB/f.u.. Number 11: magnetization 0.0 μB/f.u.. Number 12: magnetization 0.0 μB/f.u..